#1
# Tb3SmIn2, optimized geometry, DFT PBE
# N(E_F)   11.85 states/eV per cell
data_Tb3SmIn2
_space_group_name_H-M_alt 'P m c 21'
_space_group_IT_number 26
_space_group_name_Hall 'P 2c -2'
_cell_length_a 5.250
_cell_length_b 9.878
_cell_length_c 6.758
_cell_angle_alpha 90.00
_cell_angle_beta 90.00
_cell_angle_gamma 90.00
loop_
_atom_site_label
_atom_site_type_symbol
_atom_site_fract_x
_atom_site_fract_y
_atom_site_fract_z
Tb1 Tb 0.000 0.039 0.000
Tb2 Tb 0.000 0.318 0.343
Tb3 Tb 0.500 0.178 0.721
Sm1 Sm 0.500 0.463 0.065
In1 In 0.000 0.355 0.817
In2 In 0.500 0.143 0.246

***

#2
# Tb3SmIn2, optimized geometry, DFT PBE
# N(E_F)   15.38 states/eV per cell
data_Tb3SmIn2
_space_group_name_H-M_alt 'I m m m'
_space_group_IT_number 71
_space_group_name_Hall '-I 2 2'
_cell_length_a 3.440
_cell_length_b 5.622
_cell_length_c 18.882
_cell_angle_alpha 90.00
_cell_angle_beta 90.00
_cell_angle_gamma 90.00
loop_
_atom_site_label
_atom_site_type_symbol
_atom_site_fract_x
_atom_site_fract_y
_atom_site_fract_z
Tb1 Tb 0.000 0.000 0.000
Tb2 Tb 0.000 0.500 0.189
Sm1 Sm 0.000 0.500 0.000
In1 In 0.000 0.500 0.356

***

Stability, descending: #1, #2

***

#1
# Tb3SmIn4, optimized geometry, DFT PBE
# N(E_F)   6.70 states/eV per cell
data_Tb3SmIn4
_space_group_name_H-M_alt 'P m m a'
_space_group_IT_number 51
_space_group_name_Hall '-P 2a 2a'
_cell_length_a 10.731
_cell_length_b 7.542
_cell_length_c 5.364
_cell_angle_alpha 90.00
_cell_angle_beta 90.00
_cell_angle_gamma 90.00
loop_
_atom_site_label
_atom_site_type_symbol
_atom_site_fract_x
_atom_site_fract_y
_atom_site_fract_z
Tb1 Tb 0.000 0.000 0.000
Tb2 Tb 0.250 0.000 0.498
Tb3 Tb 0.250 0.500 0.498
Sm1 Sm 0.000 0.500 0.000
In1 In 0.000 0.247 0.500
In2 In 0.250 0.247 0.997

***

#2
# Tb3SmIn4, optimized geometry, DFT PBE
# N(E_F)   13.64 states/eV per cell
data_Tb3SmIn4
_space_group_name_H-M_alt 'I m m m'
_space_group_IT_number 71
_space_group_name_Hall '-I 2 2'
_cell_length_a 3.469
_cell_length_b 7.152
_cell_length_c 18.850
_cell_angle_alpha 90.00
_cell_angle_beta 90.00
_cell_angle_gamma 90.00
loop_
_atom_site_label
_atom_site_type_symbol
_atom_site_fract_x
_atom_site_fract_y
_atom_site_fract_z
Tb1 Tb 0.000 0.000 0.000
Tb2 Tb 0.000 0.500 0.220
Sm1 Sm 0.000 0.000 0.500
In1 In 0.000 0.289 0.373

***

Stability, descending: #1, #2